LiBi3Pb3Se8 | PBE | relaxed

a b c (Å): 8.458 8.459 8.572
angles (deg): 119.56 90.00 120.00
Positions (direct):
Se (0.238, 0.992, 0.729)
Se (0.238, 0.476, 0.729)
Se (0.754, 0.992, 0.729)
Se (0.762, 0.524, 0.271)
Se (0.246, 0.008, 0.271)
Se (0.762, 0.008, 0.271)
Se (0.746, 0.493, 0.739)
Se (0.254, 0.507, 0.261)
Bi (0.500, 0.000, 0.500)
Bi (0.000, 0.500, 0.500)
Bi (0.500, 0.500, 0.500)
Pb (0.000, 0.000, 0.000)
Pb (0.500, 0.500, 0.000)
Pb (0.000, 0.500, 0.000)
Li (0.000, 0.000, 0.500)



PrZn11Pd | PBE | relaxed

Results
Energy relative to the elements in eV/atom: -0.26

a b c (Å): 5.188 6.904 6.902
angles (deg): 81.78 67.92 67.63
Positions (direct):
Zn (0.723, 0.779, 0.777)
Zn (0.500, 0.000, 0.500)
Zn (0.366, 0.643, 0.647)
Zn (0.499, 0.221, 0.777)
Zn (0.000, 0.000, 0.500)
Zn (0.501, 0.779, 0.223)
Zn (0.634, 0.357, 0.353)
Zn (0.000, 0.500, 0.000)
Zn (0.277, 0.221, 0.223)
Zn (0.987, 0.357, 0.647)
Zn (0.013, 0.643, 0.353)
Pd (0.500, 0.500, 0.000)
Pr (0.000, 0.000, 0.000)



Summary of size of the total moment in Bohr magnetons per cell
0.00, 0.00
(order as listed above)
Summary of raw total energy in eV/atom
-3.98, -2.11
(order as listed above)